Density functional theory data (GGA+U) for a relaxed structure of FeSbO3.

Summary:
The calculation puts the total energy at -5.627 eV/atom. The density of states at the Fermi level comes out at 1.398 states/eV/atom. The space-group type is No. 221. The value obtained for the spin magnetization is 3.3 Bohr magnetons per cell.

Unit cell a=3.9640 b=3.9640 c=3.9640 alpha=90.00 beta=90.00 gamma=90.00
Last column: nearest neighbours and their distance in Å.
Fractional positions:
Sb1 0.0000 0.0000 0.0000  6 O 1.98
O1 0.0000 0.0000 0.5000  2 Sb 1.98
O2 0.5000 0.0000 0.0000  2 Sb 1.98
O3 0.0000 0.5000 0.0000  2 Sb 1.98
Fe1 0.5000 0.5000 0.5000  12 O 2.80